DFT (GGA-PBE) results for an optimized crystal structure of HoTh2Se3.

Cell and atoms, written as POSCAR:
```
HoTh2Se3
1.0
-6.355 -2.091 -2.433
5.344 1.035 -4.588
2.227 -6.259 3.010
Se Th Ho
6 4 2
Direct
0.601 0.935 0.768 Se
0.253 0.242 0.759 Se
0.758 0.747 0.241 Se
0.414 0.091 0.241 Se
0.065 0.399 0.232 Se
0.909 0.586 0.759 Se
0.833 0.167 0.500 Th
0.493 0.507 0.500 Th
0.333 0.667 0.000 Th
0.173 0.827 0.500 Th
0.001 0.999 0.000 Ho
0.665 0.335 0.000 Ho
```

Total moment   0.000 μB/cell
DOS(E_F)   8.705 states/eV/cell
Energy relative to the elements, uncorrected   -1.59 eV/atom
DFT total energy   -39.409 eV per formula unit